CsGe2Au6: relaxed, PBE.

Structure (POSCAR):
```
CsGe2Au6
1.0
5.5995 -4.8373 0.0000
5.5995 4.8373 0.0000
-1.5459 0.0000 3.8841
Cs Ge Au
1 2 6
direct
0.0000 0.0000 0.0000
0.3351 0.3351 0.3342
0.6649 0.6649 0.6658
0.1079 0.4149 0.7617
0.3029 0.6971 0.5000
0.4149 0.1079 0.7617
0.5851 0.8921 0.2383
0.6971 0.3029 0.5000
0.8921 0.5851 0.2383
```

Calculated values
The calculation puts the formation energy at -39 kJ/mol of formula units. For the uncorrected energy, the calculation gives -30.2 eV/cell. The magnetization comes out at 0.0 μB/f.u.


CsGe4Au9: relaxed, PBE.

Structure (POSCAR):
```
CsGe4Au9
1.0
-4.8457 4.8457 6.3481
4.8457 -4.8457 6.3481
4.8457 4.8457 -6.3481
Cs Ge Au
2 8 18
direct
0.2500 0.2500 0.0000
0.7500 0.7500 0.0000
0.0749 0.5749 0.8939
0.1811 0.0749 0.5000
0.3189 0.8189 0.8939
0.4251 0.3189 0.5000
0.5749 0.6811 0.5000
0.6811 0.1811 0.1061
0.8189 0.9251 0.5000
0.9251 0.4251 0.1061
0.0000 0.5000 0.5000
0.0055 0.2058 0.2112
0.0619 0.8089 0.5000
0.1911 0.6911 0.2530
0.2058 0.9945 0.2003
0.2942 0.4945 0.7888
0.3089 0.5619 0.5000
0.4381 0.9381 0.7470
0.4945 0.7058 0.2003
0.5000 0.0000 0.5000
0.5055 0.2942 0.7997
0.5619 0.0619 0.2530
0.6911 0.4381 0.5000
0.7058 0.5055 0.2112
0.7942 0.0055 0.7997
0.8089 0.3089 0.7470
0.9381 0.1911 0.5000
0.9945 0.7942 0.7888
```

Calculated values
The calculation puts the formation energy at -51 kJ/mol of formula units. For the uncorrected energy, the calculation gives -98.7 eV/cell. The magnetization comes out at 0.0 μB/f.u.


Cs2GeAu6: relaxed, PBE.

Structure (POSCAR):
```
Cs2GeAu6
1.0
6.0019 -3.4652 0.0000
6.0019 3.4652 0.0000
-0.0091 0.0000 7.0789
Cs Ge Au
2 1 6
direct
0.1669 0.1669 0.3636
0.8331 0.8331 0.6364
0.5000 0.5000 0.0000
0.0976 0.7014 0.1203
0.2987 0.2987 0.8798
0.2986 0.9024 0.8797
0.7014 0.0976 0.1203
0.7014 0.7014 0.1202
0.9024 0.2986 0.8797
```

Calculated values
The calculation puts the formation energy at -149 kJ/mol of formula units. For the uncorrected energy, the calculation gives -27.5 eV/cell. The magnetization comes out at 0.0 μB/f.u.


Cs2Ge4Au5: relaxed, PBE.

Structure (POSCAR):
```
Cs2Ge4Au5
1.0
0.0000 6.1925 6.7911
3.5616 0.0000 6.7911
3.5616 6.1925 0.0000
Cs Ge Au
2 4 5
direct
0.1486 0.8514 0.1486
0.8514 0.1486 0.8514
0.2206 0.4585 0.5415
0.4585 0.2206 0.7794
0.5415 0.7794 0.2206
0.7794 0.5415 0.4585
0.0000 0.5000 0.0000
0.2500 0.2500 0.2500
0.5000 0.0000 0.5000
0.5000 0.5000 0.5000
0.7500 0.7500 0.7500
```

Calculated values
The calculation puts the formation energy at -217 kJ/mol of formula units. For the uncorrected energy, the calculation gives -38.8 eV/cell. The offset from the most stable computed form is 0.0 meV/atom. The magnetization comes out at 0.0 μB/f.u.


Cs2Ge2Au: relaxed, PBE.

Structure (POSCAR):
```
Cs2Ge2Au
1.0
4.3481 -6.1212 0.0000
4.3481 6.1212 0.0000
-3.4453 0.0000 7.8754
Cs Ge Au
4 4 2
direct
0.0781 0.4051 0.2569
0.4051 0.0781 0.2569
0.5949 0.9219 0.7431
0.9219 0.5949 0.7431
0.1920 0.1920 0.8558
0.3578 0.3578 0.6912
0.6422 0.6422 0.3088
0.8080 0.8080 0.1442
0.3864 0.6136 0.0000
0.6136 0.3864 0.0000
```

Calculated values
The calculation puts the formation energy at 14 kJ/mol of formula units. For the uncorrected energy, the calculation gives -28.2 eV/cell. The offset from the most stable computed form is 123.8 meV/atom. The magnetization comes out at 0.0 μB/f.u.


Cs2GeAu5: relaxed, PBE.

Structure (POSCAR):
```
Cs2GeAu5
1.0
-3.2275 3.2275 5.6630
3.2275 -3.2275 5.6630
3.2275 3.2275 -5.6630
Cs Ge Au
2 1 5
direct
0.0000 0.5000 0.5000
0.5000 0.0000 0.5000
0.1673 0.1673 0.0000
0.5157 0.5157 0.5379
0.5157 0.9778 0.0000
0.9229 0.9229 0.0000
0.9778 0.5157 0.0000
0.9778 0.9778 0.4621
```

Calculated values
The calculation puts the formation energy at -115 kJ/mol of formula units. For the uncorrected energy, the calculation gives -23.9 eV/cell. The magnetization comes out at 0.0 μB/f.u.


Cs2Ge2Au: relaxed, PBE.

Structure (POSCAR):
```
Cs2Ge2Au
1.0
-2.2827 2.8000 6.5854
2.2827 -2.8000 6.5854
2.2827 2.8000 -6.5854
Cs Ge Au
2 2 1
direct
0.1924 0.1924 0.0000
0.8076 0.8076 0.0000
0.2479 0.5000 0.7479
0.7521 0.5000 0.2521
0.5000 0.0000 0.5000
```

Calculated values
The calculation puts the formation energy at -46 kJ/mol of formula units. For the uncorrected energy, the calculation gives -14.7 eV/cell. The offset from the most stable computed form is 0.0 meV/atom. The magnetization comes out at 0.0 μB/f.u.


Cs2GeAu4: relaxed, PBE.

Structure (POSCAR):
```
Cs2GeAu4
1.0
-2.5571 2.5571 9.2765
2.5571 -2.5571 9.2765
2.5571 2.5571 -9.2765
Cs Ge Au
2 1 4
direct
0.1520 0.1520 0.0000
0.8480 0.8480 0.0000
0.5000 0.5000 0.0000
0.0000 0.5000 0.5000
0.3593 0.3593 0.0000
0.5000 0.0000 0.5000
0.6407 0.6407 0.0000
```

Calculated values
The calculation puts the formation energy at -102 kJ/mol of formula units. For the uncorrected energy, the calculation gives -20.5 eV/cell. The magnetization comes out at 0.0 μB/f.u.


Cs2Ge2Au: relaxed, PBE.

Structure (POSCAR):
```
Cs2Ge2Au
1.0
10.4977 0.0000 0.0000
0.0000 10.4977 0.0000
0.0000 0.0000 3.9481
Cs Ge Au
4 4 2
direct
0.2162 0.2838 0.0000
0.2838 0.7838 0.0000
0.7162 0.2162 0.0000
0.7838 0.7162 0.0000
0.0767 0.5767 0.5000
0.4233 0.0767 0.5000
0.5767 0.9233 0.5000
0.9233 0.4233 0.5000
0.0000 0.0000 0.5000
0.5000 0.5000 0.5000
```

Calculated values
The calculation puts the formation energy at 96 kJ/mol of formula units. For the uncorrected energy, the calculation gives -26.4 eV/cell. The offset from the most stable computed form is 295.3 meV/atom. The magnetization comes out at 0.0 μB/f.u.


Cs3Ge2Au4: relaxed, PBE.

Structure (POSCAR):
```
Cs3Ge2Au4
1.0
7.1171 -2.3049 0.0000
7.1171 2.3049 0.0000
-3.0836 0.0000 9.1731
Cs Ge Au
3 2 4
direct
0.0000 0.0000 0.0000
0.4012 0.4012 0.3105
0.5988 0.5988 0.6895
0.3310 0.3310 0.6936
0.6690 0.6690 0.3064
0.1904 0.1904 0.4287
0.2730 0.2730 0.9215
0.7270 0.7270 0.0785
0.8096 0.8096 0.5713
```

Calculated values
The calculation puts the formation energy at -201 kJ/mol of formula units. For the uncorrected energy, the calculation gives -27.0 eV/cell. The magnetization comes out at 0.0 μB/f.u.


> magnetization of number 2 (CsGe4Au9)?

0.0 μB/f.u.


> Which value of magnetization does entry 7 give?

0.0 μB/f.u.


> Number 4 is which compound?

Cs2Ge4Au5